# Na2Cu2Rh

An optimized crystal structure of Na2Cu2Rh (PBE, the Alexandria database).

Values from the calculation:
Magnetic moment (μB/f.u.): 0.58
E above lowest polymorph (meV per atom): 314.9
ΔE_f (eV per atom): 0.607

Lattice parameters (Å, degrees): 7.919 7.919 2.658 90.00 90.00 90.00
Positions (direct):
Na 0.129 0.371 0.000
Na 0.371 0.871 0.000
Na 0.629 0.129 0.000
Na 0.871 0.629 0.000
Cu 0.175 0.675 0.500
Cu 0.325 0.175 0.500
Cu 0.675 0.825 0.500
Cu 0.825 0.325 0.500
Rh 0.000 0.000 0.000
Rh 0.500 0.500 0.000

# NaCu2Rh2

An optimized crystal structure of NaCu2Rh2 (PBE, the Alexandria database).

Values from the calculation:
Magnetic moment (μB/f.u.): 0.00
E above lowest polymorph (meV per atom): 0.0
ΔE_f (eV per atom): 0.170

Lattice parameters (Å, degrees): 7.679 7.679 2.600 90.00 90.00 90.00
Positions (direct):
Na 0.000 0.000 0.000
Na 0.500 0.500 0.000
Cu 0.172 0.328 0.500
Cu 0.328 0.828 0.500
Cu 0.672 0.172 0.500
Cu 0.828 0.672 0.500
Rh 0.124 0.624 0.000
Rh 0.376 0.124 0.000
Rh 0.624 0.876 0.000
Rh 0.876 0.376 0.000

# Na2Cu2Rh

An optimized crystal structure of Na2Cu2Rh (PBE, the Alexandria database).

Values from the calculation:
Magnetic moment (μB/f.u.): 0.00
E above lowest polymorph (meV per atom): 0.0
ΔE_f (eV per atom): 0.292

Lattice parameters (Å, degrees): 6.284 6.284 4.695 90.00 90.00 90.00
Positions (direct):
Na 0.184 0.316 0.000
Na 0.316 0.816 0.000
Na 0.684 0.184 0.000
Na 0.816 0.684 0.000
Cu 0.132 0.632 0.500
Cu 0.368 0.132 0.500
Cu 0.632 0.868 0.500
Cu 0.868 0.368 0.500
Rh 0.000 0.000 0.500
Rh 0.500 0.500 0.500

# Na2Cu2Rh

An optimized crystal structure of Na2Cu2Rh (PBE, the Alexandria database).

Values from the calculation:
Magnetic moment (μB/f.u.): 0.78
E above lowest polymorph (meV per atom): 180.4
ΔE_f (eV per atom): 0.473

Lattice parameters (Å, degrees): 9.526 9.526 9.526 160.41 160.41 27.85
Positions (direct):
Na 0.107 0.107 0.000
Na 0.893 0.893 0.000
Cu 0.250 0.750 0.500
Cu 0.750 0.250 0.500
Rh 0.500 0.500 0.000

Question: What is the formula in the fourth record?
Answer: Na2Cu2Rh